(1)
The following is a DFT calculation (PBE) of a geometry-optimized CeMg2Tl2 structure.

POSCAR file:
```
CeMg2Tl2
1.0
-0.1293 -0.2772 -4.5577
4.4914 -0.8364 -0.0765
-3.3513 -5.7557 2.7343
Mg Tl Ce
2 2 1
Direct
0.2500 0.7498 0.5000
0.7500 0.2502 0.5000
0.6117 0.6117 0.2235
0.3883 0.3883 0.7765
0.0000 0.0000 0.0000
```

=====

(2)
The following is a DFT calculation (PBE) of a geometry-optimized Mn2BeAs structure.

POSCAR file:
```
Mn2BeAs
1.0
0.0000 2.7969 2.7969
2.7969 0.0000 2.7969
2.7969 2.7969 0.0000
Mn Be As
2 1 1
Direct
0.7500 0.7500 0.7500
0.2500 0.2500 0.2500
0.0000 0.0000 0.0000
0.5000 0.5000 0.5000
```

=====

Summary of calculated total energy in eV per atom
-2.89 -6.67
(order as listed above)